No. 1
PBE-GGA InPd3N, optimized geometry; calculated density = 9.90 g cm⁻³; ΔE_f (raw) = 38 meV per atom; calculated volume = 15.03 A^3/atom; total magnetic moment = 0.00 μB/cell
1.0
4.220 0.000 0.000
0.000 4.220 0.000
0.000 0.000 4.220
N Pd In
1 3 1
direct
0.000 0.000 0.000
0.000 0.500 0.000
0.000 0.000 0.500
0.500 0.000 0.000
0.500 0.500 0.500

***

No. 2
PBE-GGA MgIn2TeW, optimized geometry; calculated density = 6.35 g cm⁻³; ΔE_f (raw) = 1280 meV per atom; calculated volume = 29.55 A^3/atom; total magnetic moment = 3.49 μB/cell
1.0
-4.183 -2.277 -2.332
2.750 -0.494 -4.451
1.709 -4.763 1.585
Mg Te W In
1 1 1 2
direct
0.000 0.000 0.000
0.500 0.500 0.500
0.000 0.500 0.000
0.000 0.000 0.500
0.500 0.000 0.000

***

No. 3
PBE-GGA VCu3Bi, optimized geometry; calculated density = 7.52 g cm⁻³; ΔH_f (0 K) = 1020 meV/atom; calculated volume = 19.90 A^3/atom; total magnetic moment = 2.63 μB/cell
1.0
-0.129 -4.451 1.280
0.386 -1.286 -4.435
4.616 -0.017 0.407
Bi Cu V
1 3 1
direct
0.500 0.500 0.500
0.000 0.500 0.000
0.000 0.000 0.500
0.500 0.000 0.000
0.000 0.000 0.000

***

No. 4
PBE-GGA Rb6H2Cl3F, optimized geometry; calculated density = 2.79 g cm⁻³; VASP energy = -3.115 eV per atom; calculated volume = 31.74 A^3/atom; total magnetic moment = 0.08 μB/cell
1.0
-2.327 -2.543 2.834
1.272 -7.119 -5.343
8.821 1.029 4.655
Rb H Cl F
6 2 3 1
direct
0.342 0.908 0.685
0.672 0.570 0.343
0.658 0.092 0.315
0.004 0.229 0.009
0.996 0.771 0.991
0.328 0.430 0.657
0.835 0.671 0.670
0.165 0.329 0.330
0.500 0.500 0.000
0.832 0.167 0.665
0.168 0.833 0.335
0.500 0.000 0.000